A plane-wave DFT calculation with PBE was carried out for a geometry-optimized La4GaHgO structure.

abc: 8.8968 8.8968 6.9859
angles: 90.00 90.00 133.87
Atoms (fractional coordinates):
La1 0.0000 0.5000 0.0000
La2 0.0000 0.5000 0.5000
La3 0.0649 0.9351 0.7500
La4 0.4241 0.5759 0.7500
La5 0.5000 0.0000 0.0000
La6 0.5000 0.0000 0.5000
La7 0.5759 0.4241 0.2500
La8 0.9351 0.0649 0.2500
Ga1 0.1205 0.8795 0.2500
Ga2 0.8795 0.1205 0.7500
Hg1 0.3854 0.6146 0.2500
Hg2 0.6146 0.3854 0.7500
O1 0.2615 0.7385 0.7500
O2 0.7385 0.2615 0.2500

Values from the calculation:
* E: -5.08 eV/atom
* space-group type: Cmcm, No. 63
* spin magnetization: 0.0 μB per formula unit
* formation energy without anion corrections: -1.078 eV per atom



A plane-wave DFT calculation with PBE was carried out for a geometry-optimized MgCr2Os structure.

abc: 3.0678 4.2582 4.3007
angles: 90.00 90.00 90.00
Atoms (fractional coordinates):
Mg1 0.0000 0.0000 0.0000
Cr1 0.0000 0.5000 0.5000
Cr2 0.5000 0.0000 0.5000
Os1 0.5000 0.5000 0.0000

Values from the calculation:
* E: -7.70 eV/atom
* space-group type: Pmmm, No. 47
* spin magnetization: 1.7 μB per formula unit
* calculated formation energy: 0.316 eV per atom



A plane-wave DFT calculation with PBE was carried out for a geometry-optimized Pm4Dy9Tl11 structure.

abc: 14.1635 14.1635 3.5843
angles: 90.00 90.00 109.79
Atoms (fractional coordinates):
Pm1 0.0874 0.2501 0.0000
Pm2 0.2501 0.0874 0.0000
Pm3 0.7499 0.9126 0.0000
Pm4 0.9126 0.7499 0.0000
Dy1 0.0000 0.0000 0.0000
Dy2 0.1127 0.6603 0.0000
Dy3 0.2969 0.4869 0.0000
Dy4 0.3397 0.8873 0.0000
Dy5 0.4869 0.2969 0.0000
Dy6 0.5131 0.7031 0.0000
Dy7 0.6603 0.1127 0.0000
Dy8 0.7031 0.5131 0.0000
Dy9 0.8873 0.3397 0.0000
Tl1 0.0909 0.4539 0.5000
Tl2 0.1238 0.8762 0.5000
Tl3 0.2938 0.2938 0.5000
Tl4 0.3122 0.6878 0.5000
Tl5 0.4539 0.0909 0.5000
Tl6 0.5000 0.5000 0.5000
Tl7 0.5461 0.9091 0.5000
Tl8 0.6878 0.3122 0.5000
Tl9 0.7062 0.7062 0.5000
Tl10 0.8762 0.1238 0.5000
Tl11 0.9091 0.5461 0.5000

Values from the calculation:
* E: -3.88 eV/atom
* space-group type: Cmmm, No. 65
* spin magnetization: 0.0 μB per formula unit
* calculated formation energy: -0.276 eV per atom



> Look up the spin magnetization of the second one.

1.7 μB per formula unit